# TbNdGe2Au2 | the Open Quantum Materials Database | GGA-PBE | optimized geometry
data_TbNdGe2Au2
_chemical_formula_sum 'Tb1 Nd1 Ge2 Au2'
_symmetry_space_group_name_H-M 'P 3 m 1'
_symmetry_Int_Tables_number 156
_cell_length_a 4.5119
_cell_length_b 4.5119
_cell_length_c 7.5329
_cell_angle_alpha 90.00
_cell_angle_beta 90.00
_cell_angle_gamma 120.00
loop_
_symmetry_equiv_pos_as_xyz
'x,y,z'
'-y,x-y,z'
'-x+y,-x,z'
'-y,-x,z'
'-x+y,y,z'
'x,x-y,z'
loop_
_atom_site_label
_atom_site_fract_x
_atom_site_fract_y
_atom_site_fract_z
Tb1 0.0000 0.0000 0.0000
Nd1 0.0000 0.0000 0.5020
Ge1 0.3333 0.6667 0.2059
Ge2 0.6667 0.3333 0.7183
Au1 0.3333 0.6667 0.7972
Au2 0.6667 0.3333 0.2677
# **E**: -30.2 eV for the cell shown

# CoRe5Ni2 | the Open Quantum Materials Database | GGA-PBE | optimized geometry
data_CoRe5Ni2
_chemical_formula_sum 'Co2 Re10 Ni4'
_symmetry_space_group_name_H-M 'A m m 2'
_symmetry_Int_Tables_number 38
_cell_length_a 4.2852
_cell_length_b 5.3574
_cell_length_c 9.2308
_cell_angle_alpha 90.00
_cell_angle_beta 90.00
_cell_angle_gamma 90.00
loop_
_symmetry_equiv_pos_as_xyz
'x,y,z'
'-x,-y,z'
'-x,y,z'
'x,-y,z'
'x,y+1/2,z+1/2'
'-x,-y+1/2,z+1/2'
'-x,y+1/2,z+1/2'
'x,-y+1/2,z+1/2'
loop_
_atom_site_label
_atom_site_fract_x
_atom_site_fract_y
_atom_site_fract_z
Co1 0.0000 0.0000 0.0000
Re1 0.0000 0.2470 0.7534
Re2 0.5000 0.0000 0.3375
Re3 0.5000 0.2459 0.0838
Ni1 0.0000 0.0000 0.5048
Ni2 0.5000 0.0000 0.8408
# **ΔH_f (0 K)**: -0.05 eV per atom